(1)
TaMnCr2: relaxed, PBE-GGA.

Calculated values
- Polymorph energy (0 for the lowest one): 0.000 eV per atom
- Crystal system: tetragonal
- Formation energy from the elements: 0.000 eV per atom
- Spin magnetization: 0.017 μB/f.u.

The structure in CIF format:
```
data_TaMnCr2
_chemical_formula_sum 'Ta1 Mn1 Cr2'
_cell_length_a 2.9596
_cell_length_b 2.9596
_cell_length_c 5.9642
_cell_angle_alpha 90.00
_cell_angle_beta 90.00
_cell_angle_gamma 90.00
_space_group_name_H-M_alt 'P 4 m m'
_space_group_IT_number 99
loop_
_space_group_symop_operation_xyz
'x,y,z'
'-y,x,z'
'-x,-y,z'
'y,-x,z'
'-x,y,z'
'y,x,z'
'x,-y,z'
'-y,-x,z'
loop_
_atom_site_label
_atom_site_type_symbol
_atom_site_fract_x
_atom_site_fract_y
_atom_site_fract_z
Ta1 Ta 0.0000 0.0000 0.0000
Mn1 Mn 0.5000 0.5000 0.7375
Cr1 Cr 0.0000 0.0000 0.5011
Cr2 Cr 0.5000 0.5000 0.2749
```



(2)
TaMnCr2: relaxed, PBE-GGA.

Calculated values
- Polymorph energy (0 for the lowest one): 0.089 eV per atom
- Crystal system: cubic
- Formation energy from the elements: 0.089 eV per atom
- Spin magnetization: 0.000 μB/f.u.

The structure in CIF format:
```
data_TaMnCr2
_chemical_formula_sum 'Ta4 Mn4 Cr8'
_cell_length_a 5.9272
_cell_length_b 5.9272
_cell_length_c 5.9272
_cell_angle_alpha 90.00
_cell_angle_beta 90.00
_cell_angle_gamma 90.00
_space_group_name_H-M_alt 'F m -3 m'
_space_group_IT_number 225
_space_group_name_Hall '-F 4 2 3'
loop_
_atom_site_label
_atom_site_type_symbol
_atom_site_fract_x
_atom_site_fract_y
_atom_site_fract_z
Ta1 Ta 0.0000 0.0000 0.0000
Mn1 Mn 0.0000 0.0000 0.5000
Cr1 Cr 0.2500 0.2500 0.2500
```



Question: Which value of polymorph energy (0 for the lowest one) does entry 1 give?
Answer: 0.000 eV per atom



Question: Which of these has the highest formation energy from the elements?
Answer: number 2



Question: Among the records above, which one has the highest polymorph energy (0 for the lowest one)?
Answer: number 2